# 1
This record from OQMD describes TbHoAl3Ge2 after structural relaxation. The functional is GGA-PBE.

Cell: 5.530 5.530 6.752 Å, 99.33 99.33 43.26°
Fractional coordinates of all 7 atoms:
1 Tb 0.000 0.000 0.000
2 Ho 0.767 0.767 0.367
3 Al 0.081 0.081 0.559
4 Al 0.383 0.383 0.683
5 Al 0.686 0.686 0.807
6 Ge 0.284 0.284 0.043
7 Ge 0.483 0.483 0.326

Computed properties:
DFT total energy = -0.17567 hartree per atom
Magnetic moment = 0.000 μB/atom
Density = 6.56 g cm⁻³

# 2
This record from OQMD describes PaAlB after structural relaxation. The functional is GGA-PBE.

Cell: 4.287 4.287 4.287 Å, 60.00 60.00 60.00°
Fractional coordinates of all 3 atoms:
1 Pa 0.000 0.000 0.000
2 Al 0.750 0.750 0.750
3 B 0.500 0.500 0.500

Computed properties:
DFT total energy = -0.20792 hartree per atom
Magnetic moment = 0.025 μB/atom
Density = 8.01 g cm⁻³

# 3
This record from OQMD describes TmCoSi2 after structural relaxation. The functional is GGA-PBE.

Cell: 8.381 8.381 3.937 Å, 90.00 90.00 152.70°
Fractional coordinates of all 8 atoms:
1 Tm 0.108 0.892 0.750
2 Tm 0.892 0.108 0.250
3 Co 0.323 0.677 0.750
4 Co 0.677 0.323 0.250
5 Si 0.250 0.750 0.250
6 Si 0.458 0.542 0.750
7 Si 0.542 0.458 0.250
8 Si 0.750 0.250 0.750

Computed properties:
DFT total energy = -0.23442 hartree per atom
Magnetic moment = 0.001 μB/atom
Density = 7.44 g cm⁻³